Entry 1:
AcMgSnPd3 | PBE | relaxed

Properties
Its formation enthalpy at 0 K is -510.6 meV per atom. Its total energy is -0.17363 hartree per atom. The calculation puts the volume at 24.9 A^3/atom.

Cell and atoms, written as CIF:
```
data_AcMgSnPd3
_cell_length_a 5.8934
_cell_length_b 17.0902
_cell_length_c 5.9435
_cell_angle_alpha 90.00
_cell_angle_beta 90.00
_cell_angle_gamma 90.00
_symmetry_space_group_name_H-M 'C m c m'
_symmetry_Int_Tables_number 63
_symmetry_space_group_name_Hall '-C 2c 2'
loop_
_atom_site_label
_atom_site_type_symbol
_atom_site_fract_x
_atom_site_fract_y
_atom_site_fract_z
Ac1 Ac 0.0000 0.2184 0.2500
Mg1 Mg 0.0000 0.0973 0.7500
Sn1 Sn 0.0000 0.4069 0.7500
Pd1 Pd 0.0000 0.2511 0.7500
Pd2 Pd 0.2407 0.0000 0.0000
```

=====

Entry 2:
Ac3MgSn6Pd2 | PBE | relaxed

Properties
Its formation enthalpy at 0 K is -361.7 meV per atom. Its total energy is -0.16128 hartree per atom. The calculation puts the volume at 30.2 A^3/atom.

Cell and atoms, written as CIF:
```
data_Ac3MgSn6Pd2
_cell_length_a 6.5825
_cell_length_b 6.5825
_cell_length_c 9.6713
_cell_angle_alpha 90.00
_cell_angle_beta 90.00
_cell_angle_gamma 120.00
_symmetry_space_group_name_H-M 'P -3 m 1'
_symmetry_Int_Tables_number 164
_symmetry_space_group_name_Hall '-P 3 2"'
loop_
_atom_site_label
_atom_site_type_symbol
_atom_site_fract_x
_atom_site_fract_y
_atom_site_fract_z
Ac1 Ac 0.0000 0.0000 0.0000
Ac2 Ac 0.3333 0.6667 0.6010
Mg1 Mg 0.0000 0.0000 0.5000
Sn1 Sn 0.1792 0.3584 0.2760
Pd1 Pd 0.3333 0.6667 0.0579
```

=====

Entry 3:
Ac2Mg3Sn4Pd | PBE | relaxed

Properties
Its formation enthalpy at 0 K is -513.7 meV per atom. Its total energy is -0.14458 hartree per atom. The calculation puts the volume at 26.7 A^3/atom.

Cell and atoms, written as CIF:
```
data_Ac2Mg3Sn4Pd
_cell_length_a 4.7378
_cell_length_b 4.7378
_cell_length_c 11.8925
_cell_angle_alpha 90.00
_cell_angle_beta 90.00
_cell_angle_gamma 90.00
_symmetry_space_group_name_H-M 'P -4 m 2'
_symmetry_Int_Tables_number 115
loop_
_symmetry_equiv_pos_as_xyz
'x,y,z'
'y,-x,-z'
'-x,-y,z'
'-y,x,-z'
'-x,y,z'
'-y,-x,-z'
'x,-y,z'
'y,x,-z'
loop_
_atom_site_label
_atom_site_type_symbol
_atom_site_fract_x
_atom_site_fract_y
_atom_site_fract_z
Ac1 Ac 0.0000 0.5000 0.2355
Mg1 Mg 0.0000 0.0000 0.0000
Mg2 Mg 0.0000 0.5000 0.6399
Sn1 Sn 0.0000 0.0000 0.5000
Sn2 Sn 0.0000 0.5000 0.8698
Sn3 Sn 0.5000 0.5000 0.5000
Pd1 Pd 0.5000 0.5000 0.0000
```

=====

Entry 4:
AcMgSnPd | PBE | relaxed

Properties
Its formation enthalpy at 0 K is -482.1 meV per atom. Its total energy is -0.15460 hartree per atom. The calculation puts the volume at 25.9 A^3/atom.

Cell and atoms, written as CIF:
```
data_AcMgSnPd
_cell_length_a 7.4556
_cell_length_b 7.4556
_cell_length_c 7.4556
_cell_angle_alpha 90.00
_cell_angle_beta 90.00
_cell_angle_gamma 90.00
_symmetry_space_group_name_H-M 'F -4 3 m'
_symmetry_Int_Tables_number 216
_symmetry_space_group_name_Hall 'F -4 2 3'
loop_
_atom_site_label
_atom_site_type_symbol
_atom_site_fract_x
_atom_site_fract_y
_atom_site_fract_z
Ac1 Ac 0.0000 0.0000 0.0000
Mg1 Mg 0.0000 0.0000 0.5000
Sn1 Sn 0.2500 0.2500 0.2500
Pd1 Pd 0.2500 0.2500 0.7500
```

=====

Entry 5:
Ac3MgSn2Pd6 | PBE | relaxed

Properties
Its formation enthalpy at 0 K is -705.0 meV per atom. Its total energy is -0.18847 hartree per atom. The calculation puts the volume at 23.9 A^3/atom.

Cell and atoms, written as CIF:
```
data_Ac3MgSn2Pd6
_cell_length_a 6.0399
_cell_length_b 6.0399
_cell_length_c 9.0929
_cell_angle_alpha 90.00
_cell_angle_beta 90.00
_cell_angle_gamma 120.00
_symmetry_space_group_name_H-M 'P -3 m 1'
_symmetry_Int_Tables_number 164
_symmetry_space_group_name_Hall '-P 3 2"'
loop_
_atom_site_label
_atom_site_type_symbol
_atom_site_fract_x
_atom_site_fract_y
_atom_site_fract_z
Ac1 Ac 0.0000 0.0000 0.0000
Ac2 Ac 0.3333 0.6667 0.6428
Mg1 Mg 0.0000 0.0000 0.5000
Sn1 Sn 0.3333 0.6667 0.0404
Pd1 Pd 0.1740 0.3481 0.2892
```

=====

Entry 6:
AcMgSnPd2 | PBE | relaxed

Properties
Its formation enthalpy at 0 K is -743.6 meV per atom. Its total energy is -0.17500 hartree per atom. The calculation puts the volume at 23.3 A^3/atom.

Cell and atoms, written as CIF:
```
data_AcMgSnPd2
_cell_length_a 4.3511
_cell_length_b 4.3511
_cell_length_c 12.2987
_cell_angle_alpha 90.00
_cell_angle_beta 90.00
_cell_angle_gamma 90.00
_symmetry_space_group_name_H-M 'I -4 m 2'
_symmetry_Int_Tables_number 119
_symmetry_space_group_name_Hall 'I -4 -2'
loop_
_atom_site_label
_atom_site_type_symbol
_atom_site_fract_x
_atom_site_fract_y
_atom_site_fract_z
Ac1 Ac 0.0000 0.0000 0.0000
Mg1 Mg 0.0000 0.5000 0.7500
Sn1 Sn 0.0000 0.5000 0.2500
Pd1 Pd 0.0000 0.0000 0.3876
```

=====

Entry 7:
Ac2MgTlPd | PBE | relaxed

Properties
Its formation enthalpy at 0 K is -512.8 meV per atom. Its total energy is -0.14652 hartree per atom. The calculation puts the volume at 30.4 A^3/atom.

Cell and atoms, written as CIF:
```
data_Ac2MgTlPd
_cell_length_a 8.1800
_cell_length_b 4.7908
_cell_length_c 8.2617
_cell_angle_alpha 90.00
_cell_angle_beta 110.23
_cell_angle_gamma 90.00
_symmetry_space_group_name_H-M 'P 1 21/m 1'
_symmetry_Int_Tables_number 11
loop_
_symmetry_equiv_pos_as_xyz
'x,y,z'
'-x,-y,-z'
'-x,y+1/2,-z'
'x,-y+1/2,z'
loop_
_atom_site_label
_atom_site_type_symbol
_atom_site_fract_x
_atom_site_fract_y
_atom_site_fract_z
Ac1 Ac 0.1032 0.2500 0.3370
Ac2 Ac 0.2936 0.2500 0.9642
Mg1 Mg 0.4403 0.7500 0.3391
Tl1 Tl 0.3267 0.7500 0.6597
Pd1 Pd 0.1076 0.7500 0.0855
```

=====

Entry 8:
AcMgTl2Pd4 | PBE | relaxed

Properties
Its formation enthalpy at 0 K is -502.9 meV per atom. Its total energy is -0.16184 hartree per atom. The calculation puts the volume at 21.1 A^3/atom.

Cell and atoms, written as CIF:
```
data_AcMgTl2Pd4
_cell_length_a 4.6866
_cell_length_b 4.6866
_cell_length_c 26.5945
_cell_angle_alpha 90.00
_cell_angle_beta 90.00
_cell_angle_gamma 120.00
_symmetry_space_group_name_H-M 'R -3 m'
_symmetry_Int_Tables_number 166
_symmetry_space_group_name_Hall '-R 3 2"'
loop_
_atom_site_label
_atom_site_type_symbol
_atom_site_fract_x
_atom_site_fract_y
_atom_site_fract_z
Ac1 Ac 0.0000 0.0000 0.0000
Mg1 Mg 0.0000 0.0000 0.5000
Tl1 Tl 0.0000 0.0000 0.2402
Pd1 Pd 0.0000 0.0000 0.1318
Pd2 Pd 0.0000 0.0000 0.3994
```

=====

Entry 9:
AcTmMgPd | PBE | relaxed

Properties
Its formation enthalpy at 0 K is -300.0 meV per atom. Its total energy is -0.15221 hartree per atom. The calculation puts the volume at 27.0 A^3/atom.

Cell and atoms, written as CIF:
```
data_AcTmMgPd
_cell_length_a 7.5636
_cell_length_b 7.5636
_cell_length_c 7.5636
_cell_angle_alpha 90.00
_cell_angle_beta 90.00
_cell_angle_gamma 90.00
_symmetry_space_group_name_H-M 'F -4 3 m'
_symmetry_Int_Tables_number 216
_symmetry_space_group_name_Hall 'F -4 2 3'
loop_
_atom_site_label
_atom_site_type_symbol
_atom_site_fract_x
_atom_site_fract_y
_atom_site_fract_z
Ac1 Ac 0.0000 0.0000 0.0000
Tm1 Tm 0.0000 0.0000 0.5000
Mg1 Mg 0.2500 0.2500 0.2500
Pd1 Pd 0.2500 0.2500 0.7500
```

=====

Entry 10:
AcYMgPd | PBE | relaxed

Properties
Its formation enthalpy at 0 K is -304.2 meV per atom. Its total energy is -0.17067 hartree per atom. The calculation puts the volume at 27.6 A^3/atom.

Cell and atoms, written as CIF:
```
data_AcYMgPd
_cell_length_a 7.6173
_cell_length_b 7.6173
_cell_length_c 7.6173
_cell_angle_alpha 90.00
_cell_angle_beta 90.00
_cell_angle_gamma 90.00
_symmetry_space_group_name_H-M 'F -4 3 m'
_symmetry_Int_Tables_number 216
_symmetry_space_group_name_Hall 'F -4 2 3'
loop_
_atom_site_label
_atom_site_type_symbol
_atom_site_fract_x
_atom_site_fract_y
_atom_site_fract_z
Ac1 Ac 0.0000 0.0000 0.0000
Y1 Y 0.0000 0.0000 0.5000
Mg1 Mg 0.2500 0.2500 0.7500
Pd1 Pd 0.2500 0.2500 0.2500
```

=====

Entry 11:
Ac3Mg2ZnPd6 | PBE | relaxed

Properties
Its formation enthalpy at 0 K is -642.5 meV per atom. Its total energy is -0.17044 hartree per atom. The calculation puts the volume at 23.0 A^3/atom.

Cell and atoms, written as CIF:
```
data_Ac3Mg2ZnPd6
_cell_length_a 5.9657
_cell_length_b 5.9657
_cell_length_c 8.9560
_cell_angle_alpha 90.00
_cell_angle_beta 90.00
_cell_angle_gamma 120.00
_symmetry_space_group_name_H-M 'P -3 m 1'
_symmetry_Int_Tables_number 164
_symmetry_space_group_name_Hall '-P 3 2"'
loop_
_atom_site_label
_atom_site_type_symbol
_atom_site_fract_x
_atom_site_fract_y
_atom_site_fract_z
Ac1 Ac 0.0000 0.0000 0.0000
Ac2 Ac 0.3333 0.6667 0.6221
Mg1 Mg 0.3333 0.6667 0.0414
Zn1 Zn 0.0000 0.0000 0.5000
Pd1 Pd 0.1723 0.3445 0.2860
```